[1]
CrCdRe2 | GGA-PBE | optimized geometry Values from VASP.

Geometry as Quantum ESPRESSO input:
```
&SYSTEM
  ibrav = 0, nat = 8, ntyp = 3
/
ATOMIC_SPECIES
Re 186.21 Re.upf
Cd 112.41 Cd.upf
Cr 52.00 Cr.upf
ATOMIC_POSITIONS angstrom
Re 2.673 0.967 2.311
Re 1.195 2.901 2.311
Re 2.901 3.129 6.932
Re 4.835 4.608 6.932
Cd 3.868 1.934 4.622
Cd 0.000 0.000 0.000
Cr 1.934 1.934 0.000
Cr 1.934 3.868 4.622
CELL_PARAMETERS angstrom
3.868 0.000 0.000
0.000 3.868 0.000
1.934 1.934 9.243
```

Calculated values
energy relative to the elements	1.122	eV per atom
E	-7.737	eV per atom

[2]
KIn2Ga8 | GGA-PBE | optimized geometry Values from VASP.

Geometry as Quantum ESPRESSO input:
```
&SYSTEM
  ibrav = 0, nat = 11, ntyp = 3
/
ATOMIC_SPECIES
In 114.82 In.upf
K 39.10 K.upf
Ga 69.72 Ga.upf
ATOMIC_POSITIONS angstrom
In -2.413 2.880 0.610
In -4.336 5.173 1.097
K 0.000 0.000 0.000
Ga -7.330 4.480 0.416
Ga -2.418 4.253 3.563
Ga -4.182 6.357 4.009
Ga -3.803 0.272 -0.476
Ga -2.751 0.384 2.210
Ga -6.470 4.822 3.150
Ga -0.655 2.149 3.117
Ga -5.567 2.376 -0.030
CELL_PARAMETERS angstrom
-4.384 -3.300 -1.766
1.912 0.454 5.420
-6.749 8.052 1.707
```

Calculated values
energy relative to the elements	0.070	eV per atom
E	-2.729	eV per atom

[3]
TbSm2In2Rh5 | GGA-PBE | optimized geometry Values from VASP.

Geometry as Quantum ESPRESSO input:
```
&SYSTEM
  ibrav = 0, nat = 20, ntyp = 4
/
ATOMIC_SPECIES
Sm 150.36 Sm.upf
Rh 102.91 Rh.upf
In 114.82 In.upf
Tb 158.93 Tb.upf
ATOMIC_POSITIONS angstrom
Sm 0.000 1.770 3.434
Sm 0.000 3.434 8.639
Sm 0.000 8.639 6.974
Sm 0.000 6.974 1.770
Rh 1.872 2.101 0.674
Rh 1.872 9.735 2.101
Rh 1.872 0.674 8.307
Rh 1.872 7.306 4.531
Rh 1.872 5.204 0.000
Rh 1.872 5.878 7.306
Rh 1.872 3.103 5.878
Rh 1.872 4.531 3.103
Rh 1.872 0.000 5.204
Rh 1.872 8.307 9.735
In 0.000 9.083 3.879
In 0.000 6.530 9.083
In 0.000 1.325 6.530
In 0.000 3.879 1.325
Tb 0.000 5.204 5.204
Tb 0.000 0.000 0.000
CELL_PARAMETERS angstrom
3.745 0.000 0.000
0.000 10.409 0.000
0.000 0.000 10.409
```

Calculated values
energy relative to the elements	-0.532	eV per atom
E	-6.163	eV per atom

[4]
PrB2Rh3 | GGA-PBE | optimized geometry Values from VASP.

Geometry as Quantum ESPRESSO input:
```
&SYSTEM
  ibrav = 0, nat = 6, ntyp = 3
/
ATOMIC_SPECIES
Rh 102.91 Rh.upf
Pr 140.91 Pr.upf
B 10.81 B.upf
ATOMIC_POSITIONS angstrom
Rh 2.770 0.000 1.552
Rh -1.385 2.399 1.552
Rh 1.385 2.399 1.552
Pr 0.000 0.000 0.000
B 2.770 1.599 0.000
B 0.000 3.198 0.000
CELL_PARAMETERS angstrom
5.540 0.000 0.000
-2.770 4.798 0.000
0.000 0.000 3.105
```

Calculated values
energy relative to the elements	-0.645	eV per atom
E	-7.344	eV per atom

[5]
Ce2CrRhN5 | GGA-PBE | optimized geometry Values from VASP.

Geometry as Quantum ESPRESSO input:
```
&SYSTEM
  ibrav = 0, nat = 18, ntyp = 4
/
ATOMIC_SPECIES
N 14.01 N.upf
Cr 52.00 Cr.upf
Ce 140.12 Ce.upf
Rh 102.91 Rh.upf
ATOMIC_POSITIONS angstrom
N 0.000 6.757 2.722
N 1.665 6.523 4.989
N 0.000 4.889 0.034
N 0.000 4.189 6.242
N 1.665 2.593 8.308
N 1.665 0.128 7.457
N 0.000 4.291 3.573
N 1.665 2.695 1.507
N 0.000 0.361 0.254
N 1.665 1.995 4.769
Cr 1.665 0.865 9.074
Cr 0.000 6.019 4.339
Ce 1.665 5.079 1.748
Ce 1.665 5.194 7.693
Ce 0.000 1.805 6.483
Ce 0.000 1.690 2.958
Rh 0.000 2.821 0.139
Rh 1.665 4.063 4.874
CELL_PARAMETERS angstrom
3.330 0.000 0.000
-1.665 6.884 0.000
0.000 0.000 9.470
```

Calculated values
E	-8.613	eV per atom
uncorrected formation energy	-0.78	eV per atom

[6]
CoAs2Os | GGA-PBE | optimized geometry Values from VASP.

Geometry as Quantum ESPRESSO input:
```
&SYSTEM
  ibrav = 0, nat = 4, ntyp = 3
/
ATOMIC_SPECIES
As 74.92 As.upf
Os 190.23 Os.upf
Co 58.93 Co.upf
ATOMIC_POSITIONS angstrom
As 0.000 1.769 2.018
As 0.000 3.340 0.191
Os 2.020 2.363 3.330
Co 2.020 0.788 1.110
CELL_PARAMETERS angstrom
4.039 0.000 0.000
0.000 3.534 -0.011
0.000 -0.384 4.450
```

Calculated values
energy relative to the elements	0.505	eV per atom
E	-6.404	eV per atom

[7]
NdPaFeN3 | GGA-PBE | optimized geometry Values from VASP.

Geometry as Quantum ESPRESSO input:
```
&SYSTEM
  ibrav = 0, nat = 12, ntyp = 4
/
ATOMIC_SPECIES
N 14.01 N.upf
Fe 55.84 Fe.upf
Nd 144.24 Nd.upf
Pa 231.04 Pa.upf
ATOMIC_POSITIONS angstrom
N 2.562 6.000 1.585
N 2.562 2.859 1.259
N 0.854 2.284 6.460
N 0.854 4.875 4.299
N 0.854 -0.857 6.134
N 2.562 0.268 3.421
Fe 2.562 5.670 3.606
Fe 0.854 -0.527 4.114
Nd 2.562 4.352 6.148
Nd 0.854 0.791 1.571
Pa 2.562 0.733 6.001
Pa 0.854 4.410 1.718
CELL_PARAMETERS angstrom
3.417 0.000 0.000
0.000 7.227 0.673
0.000 -2.084 7.047
```

Calculated values
E	-9.047	eV per atom
uncorrected formation energy	-1.10	eV per atom

[8]
Cr3Hg2Cl8 | GGA-PBE | optimized geometry Values from VASP.

Geometry as Quantum ESPRESSO input:
```
&SYSTEM
  ibrav = 0, nat = 13, ntyp = 3
/
ATOMIC_SPECIES
Hg 200.59 Hg.upf
Cr 52.00 Cr.upf
Cl 35.45 Cl.upf
ATOMIC_POSITIONS angstrom
Hg -0.918 -5.921 -2.875
Hg -3.551 -3.567 -2.800
Cr 3.683 -3.682 0.021
Cr -0.143 -0.161 -3.083
Cr 1.304 -1.303 0.007
Cl -5.702 -5.706 -0.456
Cl -4.679 -7.305 -3.791
Cl -1.213 -1.243 -5.111
Cl 0.211 -2.183 -1.884
Cl -3.255 -8.246 -0.564
Cl 2.814 -4.786 -1.869
Cl -7.283 -4.703 -3.806
Cl 1.234 -3.783 -5.219
CELL_PARAMETERS angstrom
-0.287 -0.322 -6.165
4.987 -4.986 0.029
-9.168 -4.181 0.462
```

Calculated values
E	-4.271	eV per atom
uncorrected formation energy	-0.87	eV per atom

[9]
TmMnCoNi | GGA-PBE | optimized geometry Values from VASP.

Geometry as Quantum ESPRESSO input:
```
&SYSTEM
  ibrav = 0, nat = 4, ntyp = 4
/
ATOMIC_SPECIES
Co 58.93 Co.upf
Tm 168.93 Tm.upf
Ni 58.69 Ni.upf
Mn 54.94 Mn.upf
ATOMIC_POSITIONS angstrom
Co 6.596 3.808 2.693
Tm 4.398 2.539 1.795
Ni 2.199 1.269 0.898
Mn 0.000 0.000 0.000
CELL_PARAMETERS angstrom
4.398 0.000 0.000
2.199 3.808 0.000
2.199 1.269 3.591
```

Calculated values
energy relative to the elements	-0.104	eV per atom
E	-6.736	eV per atom

[10]
Mg3Ga2Au3 | GGA-PBE | optimized geometry Values from VASP.

Geometry as Quantum ESPRESSO input:
```
&SYSTEM
  ibrav = 0, nat = 32, ntyp = 3
/
ATOMIC_SPECIES
Ga 69.72 Ga.upf
Mg 24.30 Mg.upf
Au 196.97 Au.upf
ATOMIC_POSITIONS angstrom
Ga 1.150 5.924 10.913
Ga 5.981 1.093 4.625
Ga 4.716 4.602 1.662
Ga 2.415 2.416 7.949
Ga 5.981 1.093 1.662
Ga 4.716 4.602 4.625
Ga 2.415 2.416 10.913
Ga 1.150 5.924 7.949
Mg 3.648 2.212 3.144
Mg 2.360 6.952 5.124
Mg 1.206 3.444 5.124
Mg 0.082 1.297 9.431
Mg 3.484 4.805 9.431
Mg 5.926 3.574 11.411
Mg 4.772 0.065 11.411
Mg 2.360 6.952 1.163
Mg 7.050 5.721 3.144
Mg 5.926 3.574 7.450
Mg 4.772 0.065 7.450
Mg 1.206 3.444 1.163
Au 3.958 2.172 0.476
Au 3.958 2.172 5.811
Au 0.392 1.337 12.098
Au 2.518 4.943 3.144
Au 6.084 5.583 9.431
Au 3.173 4.845 6.763
Au 4.614 2.075 9.431
Au 0.392 1.337 6.763
Au 6.739 5.681 5.811
Au 6.739 5.681 0.476
Au 3.173 4.845 12.098
Au 1.048 1.434 3.144
CELL_PARAMETERS angstrom
7.132 0.000 0.000
0.000 7.018 0.000
0.000 0.000 12.574
```

Calculated values
energy relative to the elements	-0.405	eV per atom
E	-2.989	eV per atom

[11]
Mn3TlCr | GGA-PBE | optimized geometry Values from VASP.

Geometry as Quantum ESPRESSO input:
```
&SYSTEM
  ibrav = 0, nat = 5, ntyp = 3
/
ATOMIC_SPECIES
Mn 54.94 Mn.upf
Cr 52.00 Cr.upf
Tl 204.38 Tl.upf
ATOMIC_POSITIONS angstrom
Mn 0.101 1.849 1.246
Mn -0.239 -1.231 1.846
Mn -2.217 0.217 -0.142
Cr 0.000 0.000 0.000
Tl -2.355 0.836 2.950
CELL_PARAMETERS angstrom
-4.433 0.435 -0.285
-0.479 -2.462 3.693
0.203 3.698 2.492
```

Calculated values
energy relative to the elements	0.921	eV per atom
E	-6.979	eV per atom

[12]
LaSm15Tl4 | GGA-PBE | optimized geometry Values from VASP.

Geometry as Quantum ESPRESSO input:
```
&SYSTEM
  ibrav = 0, nat = 20, ntyp = 3
/
ATOMIC_SPECIES
Sm 150.36 Sm.upf
La 138.91 La.upf
Tl 204.38 Tl.upf
ATOMIC_POSITIONS angstrom
Sm -18.353 -13.244 2.765
Sm -11.492 -5.212 2.846
Sm -1.878 1.629 -2.456
Sm -2.585 -1.920 -1.783
Sm -14.399 -10.405 1.625
Sm -10.469 -7.582 0.491
Sm -19.376 -10.874 5.120
Sm -15.423 -8.035 3.979
Sm -6.538 -4.759 -0.643
Sm -9.950 -4.168 -0.128
Sm -6.037 -1.358 -1.256
Sm -17.802 -9.807 2.137
Sm -3.608 0.450 0.572
Sm -7.562 -2.389 1.712
Sm -13.889 -6.997 1.008
La 0.000 0.000 0.000
Tl -15.920 -11.434 4.592
Tl -11.998 -8.617 3.461
Tl -4.162 -2.989 1.201
Tl -8.084 -5.806 2.332
CELL_PARAMETERS angstrom
-2.901 3.999 -0.101
-0.855 -0.742 -4.811
-20.083 -14.423 5.792
```

Calculated values
energy relative to the elements	-0.143	eV per atom
E	-4.402	eV per atom